{
  "formula": "LiBiO3",
  "functional": "GGA-PBEsol",
  "state": "optimized geometry",
  "cell": [[4.955, 0.000, 0.000], [0.000, 8.891, 0.000], [0.000, 0.000, 10.806]],
  "species": ["Li", "Li", "Li", "Li", "Li", "Li", "Li", "Li", "Bi", "Bi", "Bi", "Bi", "Bi", "Bi", "Bi", "Bi", "O", "O", "O", "O", "O", "O", "O", "O", "O", "O", "O", "O", "O", "O", "O", "O", "O", "O", "O", "O", "O", "O", "O", "O"],
  "fractional_positions": [[0.000, 0.214, 0.097], [0.000, 0.286, 0.597], [0.000, 0.714, 0.403], [0.000, 0.786, 0.903], [0.500, 0.214, 0.597], [0.500, 0.286, 0.097], [0.500, 0.714, 0.903], [0.500, 0.786, 0.403], [0.004, 0.086, 0.363], [0.004, 0.414, 0.863], [0.496, 0.086, 0.863], [0.496, 0.414, 0.363], [0.504, 0.586, 0.637], [0.504, 0.914, 0.137], [0.996, 0.586, 0.137], [0.996, 0.914, 0.637], [0.194, 0.095, 0.542], [0.194, 0.405, 0.042], [0.226, 0.586, 0.301], [0.226, 0.914, 0.801], [0.250, 0.250, 0.276], [0.250, 0.250, 0.776], [0.250, 0.750, 0.049], [0.250, 0.750, 0.549], [0.274, 0.586, 0.801], [0.274, 0.914, 0.301], [0.306, 0.095, 0.042], [0.306, 0.405, 0.542], [0.694, 0.595, 0.458], [0.694, 0.905, 0.958], [0.726, 0.086, 0.699], [0.726, 0.414, 0.199], [0.750, 0.250, 0.451], [0.750, 0.250, 0.951], [0.750, 0.750, 0.224], [0.750, 0.750, 0.724], [0.774, 0.086, 0.199], [0.774, 0.414, 0.699], [0.806, 0.595, 0.958], [0.806, 0.905, 0.458]],
  "spacegroup": "Pccn",
  "magnetic_moment_mub_per_atom": 0.0000,
  "e_form_raw_ev_per_atom": -1.245
}


{
  "formula": "Li2BiO",
  "functional": "GGA-PBEsol",
  "state": "optimized geometry",
  "cell": [[0.000, 4.037, 4.037], [4.037, 0.000, 4.037], [4.037, 4.037, 0.000]],
  "species": ["Li", "Li", "Li", "Li", "Bi", "Bi", "O", "O"],
  "fractional_positions": [[0.000, 0.000, 0.000], [0.000, 0.000, 0.500], [0.000, 0.500, 0.000], [0.500, 0.000, 0.000], [0.375, 0.375, 0.375], [0.625, 0.625, 0.625], [0.125, 0.125, 0.125], [0.875, 0.875, 0.875]],
  "spacegroup": "Fd-3m",
  "magnetic_moment_mub_per_atom": 0.0000,
  "e_form_raw_ev_per_atom": -1.059
}